CsMg3Rh: PBEsol geometry, SCAN.

## Properties
**Calculated formation energy**: 2.01 eV/atom
**N(E_F)**: 3.34 states/eV/f.u.

abc: 5.9604 5.9604 5.9604
angles: 90.00 90.00 90.00
Space group Pm-3m (No. 221)
Unique sites:
1 Cs 0.0000 0.0000 0.0000 [1 per cell]
2 Mg 0.0000 0.0000 0.5000 [3 per cell]
3 Rh 0.5000 0.5000 0.5000 [1 per cell]